Y2Mg | PBEsol | relaxed

Lattice parameters (Å, degrees): 4.8596 4.8596 28.6120 90.00 90.00 90.00
Space group I4_1/amd (No. 141, origin choice 2)
Symmetry-distinct sites (fractional):
Y  0.0000  0.2500  0.1240 [8 per cell]
Y  0.0000  0.2500  0.7909 [8 per cell]
Mg  0.0000  0.2500  0.2907 [8 per cell]

Summary:
- E_form (eV per formula unit) = 0.04
- calculated volume (Å³ per cell) = 675.7
- mass density (g cm⁻³) = 4.0
- total magnetization (Bohr magnetons per cell) = 0.010